GGA-PBE HfTiHgMo, optimized geometry; DFT formation energy = 6 meV per atom; calculated total energy = -7.240 eV/atom; ρ = 11.79 g cm⁻³
1.0
-0.3031 4.6916 -0.1894
-2.3032 2.0675 -3.5439
-4.1219 2.1252 0.7952
Hf Ti Mo Hg
1 1 1 1
Direct
0.2500 0.2500 0.2500
0.7500 0.7500 0.7500
0.5000 0.5000 0.5000
0.0000 0.0000 0.0000